# KV2PbO6 PBE+U optimized geometry
data_KV2PbO6
_cell_length_a 7.756
_cell_length_b 7.756
_cell_length_c 5.947
_cell_angle_alpha 99.70
_cell_angle_beta 99.70
_cell_angle_gamma 87.08
_space_group_name_H-M_alt 'P 1'
_space_group_IT_number 1
loop_
_space_group_symop_operation_xyz
'x,y,z'
loop_
_atom_site_label
_atom_site_type_symbol
_atom_site_fract_x
_atom_site_fract_y
_atom_site_fract_z
O1 O 0.183 0.157 0.012
V1 V 0.874 0.694 0.733
O2 O 0.843 0.817 0.488
O3 O 0.157 0.183 0.512
Pb1 Pb 0.614 0.386 0.250
V2 V 0.694 0.874 0.233
O4 O 0.482 0.263 0.838
O5 O 0.641 0.093 0.308
O6 O 0.737 0.518 0.662
O7 O 0.093 0.641 0.808
K1 K 0.172 0.828 0.250
Pb2 Pb 0.386 0.614 0.750
O8 O 0.518 0.737 0.162
O9 O 0.359 0.907 0.692
K2 K 0.828 0.172 0.750
O10 O 0.263 0.482 0.338
V3 V 0.306 0.126 0.767
V4 V 0.126 0.306 0.267
O11 O 0.817 0.843 0.988
O12 O 0.907 0.359 0.192
# - energy (eV/atom) = -6.74